(1)
ScAgO2: optimized geometry, PBE.

Calculated values
- final energy (eV/cell) = -66.983
- N(E_F) (states/eV per cell) = 6.96
- formation energy from raw total energies (kJ/mol of atoms) = -77.9

Cell: 3.5632 3.5632 17.7066 Å, 90.00 90.00 120.00°
Space group R-3m (No. 166, hexagonal axes)
Inequivalent atoms, fractional coordinates:
Sc: 0.0000 0.0000 0.0000 [3 per cell]
Ag: 0.0000 0.0000 0.5000 [3 per cell]
O: 0.0000 0.0000 0.1087 [6 per cell]


(2)
ScAgO2: optimized geometry, PBE.

Calculated values
- final energy (eV/cell) = -109.554
- N(E_F) (states/eV per cell) = 0.00
- formation energy from raw total energies (kJ/mol of atoms) = -199.9

Cell: 5.108 5.108 9.723 Å, 90.00 90.00 90.00°
Space group I-42d (No. 122)
Inequivalent atoms, fractional coordinates:
Sc: 0.000 0.000 0.000 [4 per cell]
Ag: 0.000 0.000 0.500 [4 per cell]
O: 0.184 0.250 0.125 [8 per cell]


(3)
ScAgO3: optimized geometry, PBE.

Calculated values
- final energy (eV/cell) = -125.769
- N(E_F) (states/eV per cell) = 17.40
- formation energy from raw total energies (kJ/mol of atoms) = -142.5

Cell: 3.272 13.907 5.484 Å, 90.00 90.00 90.00°
Space group Cmcm (No. 63)
Inequivalent atoms, fractional coordinates:
Sc: 0.000 0.197 0.250 [4 per cell]
Ag: 0.000 0.446 0.250 [4 per cell]
O: 0.000 0.040 0.250 [4 per cell]
O: 0.000 0.322 0.002 [8 per cell]


(4)
Sc2AgO4: optimized geometry, PBE.

Calculated values
- final energy (eV/cell) = -417.917
- N(E_F) (states/eV per cell) = 59.14
- formation energy from raw total energies (kJ/mol of atoms) = -232.8

Cell: 9.102 9.108 9.114 Å, 90.00 90.00 90.00°
Space group Fddd (No. 70, origin choice 2)
Inequivalent atoms, fractional coordinates:
Sc: 0.000 0.000 0.000 [16 per cell]
Ag: 0.125 0.125 0.625 [8 per cell]
O: 0.017 0.017 0.232 [32 per cell]


(5)
ScAgO2: optimized geometry, PBE.

Calculated values
- final energy (eV/cell) = -84.497
- N(E_F) (states/eV per cell) = 0.00
- formation energy from raw total energies (kJ/mol of atoms) = -218.7

Cell: 3.2002 3.2002 18.7015 Å, 90.00 90.00 120.00°
Space group R-3m (No. 166, hexagonal axes)
Inequivalent atoms, fractional coordinates:
Sc: 0.0000 0.0000 0.0000 [3 per cell]
Ag: 0.0000 0.0000 0.5000 [3 per cell]
O: 0.0000 0.0000 0.3885 [6 per cell]


(6)
Sc4Ag2O: optimized geometry, PBE.

Calculated values
- final energy (eV/cell) = -84.771
- N(E_F) (states/eV per cell) = 21.92
- formation energy from raw total energies (kJ/mol of atoms) = -88.2

Cell: 4.353 4.353 14.204 Å, 90.00 90.00 90.00°
Space group I4/mmm (No. 139)
Inequivalent atoms, fractional coordinates:
Sc: 0.000 0.000 0.175 [4 per cell]
Sc: 0.000 0.500 0.000 [4 per cell]
Ag: 0.000 0.000 0.366 [4 per cell]
O: 0.000 0.000 0.000 [2 per cell]


(7)
ScAgO2: optimized geometry, PBE.

Calculated values
- final energy (eV/cell) = -83.263
- N(E_F) (states/eV per cell) = 0.00
- formation energy from raw total energies (kJ/mol of atoms) = -208.8

Cell: 3.1924 3.1924 18.4946 Å, 90.00 90.00 120.00°
Space group R3m (No. 160, hexagonal axes)
Inequivalent atoms, fractional coordinates:
Sc: 0.0000 0.0000 0.0000 [3 per cell]
Ag: 0.0000 0.0000 0.1608 [3 per cell]
O: 0.0000 0.0000 0.2787 [3 per cell]
O: 0.0000 0.0000 0.7279 [3 per cell]


(8)
ScAgO2: optimized geometry, PBE.

Calculated values
- final energy (eV/cell) = -56.374
- N(E_F) (states/eV per cell) = 0.00
- formation energy from raw total energies (kJ/mol of atoms) = -219.2

Cell: 3.2412 3.2412 12.5226 Å, 90.00 90.00 120.00°
Space group P6_3/mmc (No. 194)
Inequivalent atoms, fractional coordinates:
Sc: 0.0000 0.0000 0.0000 [2 per cell]
Ag: 0.3333 0.6667 0.2500 [2 per cell]
O: 0.3333 0.6667 0.0820 [4 per cell]


(9)
ScAgO3: optimized geometry, PBE.

Calculated values
- final energy (eV/cell) = -30.416
- N(E_F) (states/eV per cell) = 4.90
- formation energy from raw total energies (kJ/mol of atoms) = -122.7

Cell: 4.067 4.067 4.067 Å, 90.00 90.00 90.00°
Space group Pm-3m (No. 221)
Inequivalent atoms, fractional coordinates:
Sc: 0.000 0.000 0.000 [1 per cell]
Ag: 0.500 0.500 0.500 [1 per cell]
O: 0.000 0.000 0.500 [3 per cell]


(10)
Sc2AgO: optimized geometry, PBE.

Calculated values
- final energy (eV/cell) = -76.139
- N(E_F) (states/eV per cell) = 4.92
- formation energy from raw total energies (kJ/mol of atoms) = -118.4

Cell: 3.1233 3.1233 24.5627 Å, 90.00 90.00 120.00°
Space group R-3m (No. 166, hexagonal axes)
Inequivalent atoms, fractional coordinates:
Sc: 0.0000 0.0000 0.1147 [6 per cell]
Ag: 0.0000 0.0000 0.0000 [3 per cell]
O: 0.0000 0.0000 0.5000 [3 per cell]


(11)
ScAgO3: optimized geometry, PBE.

Calculated values
- final energy (eV/cell) = -27.593
- N(E_F) (states/eV per cell) = 1.38
- formation energy from raw total energies (kJ/mol of atoms) = -68.2

Cell: 3.974 3.974 3.974 Å, 90.00 90.00 90.00°
Space group Pm-3m (No. 221)
Inequivalent atoms, fractional coordinates:
Sc: 0.000 0.000 0.000 [1 per cell]
Ag: 0.500 0.500 0.500 [1 per cell]
O: 0.000 0.500 0.500 [3 per cell]


(12)
Sc2AgSeO: optimized geometry, PBE.

Calculated values
- final energy (eV/cell) = -24.753
- N(E_F) (states/eV per cell) = 4.61
- formation energy from raw total energies (kJ/mol of atoms) = -15.4

Cell: 5.200 5.200 3.986 Å, 90.00 90.00 90.00°
Space group P4/mmm (No. 123)
Inequivalent atoms, fractional coordinates:
Sc: 0.000 0.500 0.000 [2 per cell]
Ag: 0.000 0.000 0.000 [1 per cell]
Se: 0.500 0.500 0.500 [1 per cell]
O: 0.000 0.000 0.500 [1 per cell]


(13)
ScSiAgO4: optimized geometry, PBE.

Calculated values
- final energy (eV/cell) = -102.270
- N(E_F) (states/eV per cell) = 0.00
- formation energy from raw total energies (kJ/mol of atoms) = -230.1

Cell: 5.464 5.863 6.735 Å, 90.00 105.64 90.00°
Space group P2_1/m (No. 11)
Inequivalent atoms, fractional coordinates:
Sc: 0.183 0.250 0.024 [2 per cell]
Si: 0.277 0.750 0.853 [2 per cell]
Ag: 0.469 0.750 0.397 [2 per cell]
O: 0.076 0.536 0.836 [4 per cell]
O: 0.485 0.750 0.082 [2 per cell]
O: 0.485 0.750 0.717 [2 per cell]


(14)
Sc4AgSnO: optimized geometry, PBE.

Calculated values
- final energy (eV/cell) = -179.816
- N(E_F) (states/eV per cell) = 17.80
- formation energy from raw total energies (kJ/mol of atoms) = -107.7

Cell: 6.132 14.843 6.123 Å, 90.00 90.00 90.00°
Space group Cmcm (No. 63)
Inequivalent atoms, fractional coordinates:
Sc: 0.000 0.074 0.250 [4 per cell]
Sc: 0.000 0.411 0.250 [4 per cell]
Sc: 0.250 0.250 0.000 [8 per cell]
Ag: 0.000 0.116 0.750 [4 per cell]
Sn: 0.000 0.392 0.750 [4 per cell]
O: 0.000 0.251 0.250 [4 per cell]


(15)
Sr2ScAgO4: optimized geometry, PBE.

Calculated values
- final energy (eV/cell) = -102.532
- N(E_F) (states/eV per cell) = 0.00
- formation energy from raw total energies (kJ/mol of atoms) = -227.8

Cell: 5.293 5.293 10.732 Å, 90.00 90.00 90.00°
Space group I-4 (No. 82)
Inequivalent atoms, fractional coordinates:
Sr: 0.000 0.000 0.000 [2 per cell]
Sr: 0.000 0.500 0.250 [2 per cell]
Sc: 0.000 0.000 0.500 [2 per cell]
Ag: 0.000 0.500 0.750 [2 per cell]
O: 0.216 0.781 0.391 [8 per cell]


(16)
Sr3ScAg2O6: optimized geometry, PBE.

Calculated values
- final energy (eV/cell) = -69.351
- N(E_F) (states/eV per cell) = 6.66
- formation energy from raw total energies (kJ/mol of atoms) = -181.1

Cell: 5.9737 5.9737 6.4270 Å, 90.00 90.00 120.00°
Space group P-3m1 (No. 164)
Inequivalent atoms, fractional coordinates:
Sr: 0.0000 0.0000 0.0000 [1 per cell]
Sr: 0.3333 0.6667 0.5957 [2 per cell]
Sc: 0.0000 0.0000 0.5000 [1 per cell]
Ag: 0.3333 0.6667 0.1043 [2 per cell]
O: 0.1616 0.3232 0.3055 [6 per cell]


(17)
Sr2ScAgO: optimized geometry, PBE.

Calculated values
- final energy (eV/cell) = -23.198
- N(E_F) (states/eV per cell) = 3.09
- formation energy from raw total energies (kJ/mol of atoms) = -109.9

Cell: 5.478 5.478 4.156 Å, 90.00 90.00 90.00°
Space group P4/mmm (No. 123)
Inequivalent atoms, fractional coordinates:
Sr: 0.000 0.500 0.000 [2 per cell]
Sc: 0.000 0.000 0.500 [1 per cell]
Ag: 0.500 0.500 0.500 [1 per cell]
O: 0.000 0.000 0.000 [1 per cell]


(18)
ScTc2AgO: optimized geometry, PBE.

Calculated values
- final energy (eV/cell) = -34.788
- N(E_F) (states/eV per cell) = 5.08
- formation energy from raw total energies (kJ/mol of atoms) = 1.6

Cell: 4.069 4.069 4.714 Å, 90.00 90.00 90.00°
Space group P4/mmm (No. 123)
Inequivalent atoms, fractional coordinates:
Sc: 0.000 0.000 0.000 [1 per cell]
Tc: 0.000 0.500 0.500 [2 per cell]
Ag: 0.500 0.500 0.000 [1 per cell]
O: 0.500 0.500 0.500 [1 per cell]


(19)
ScTc2AgO8: optimized geometry, PBE.

Calculated values
- final energy (eV/cell) = -88.439
- N(E_F) (states/eV per cell) = 5.42
- formation energy from raw total energies (kJ/mol of atoms) = -151.6

Cell: 5.8830 5.8830 6.4920 Å, 90.00 90.00 120.00°
Space group P-3m1 (No. 164)
Inequivalent atoms, fractional coordinates:
Sc: 0.0000 0.0000 0.0000 [1 per cell]
Tc: 0.3333 0.6667 0.2816 [2 per cell]
Ag: 0.0000 0.0000 0.5000 [1 per cell]
O: 0.1655 0.3310 0.1943 [6 per cell]
O: 0.3333 0.6667 0.5489 [2 per cell]


(20)
ScTiAgO2: optimized geometry, PBE.

Calculated values
- final energy (eV/cell) = -31.922
- N(E_F) (states/eV per cell) = 2.85
- formation energy from raw total energies (kJ/mol of atoms) = -95.1

Cell: 3.869 3.869 5.902 Å, 90.00 90.00 90.00°
Space group P4/mmm (No. 123)
Inequivalent atoms, fractional coordinates:
Sc: 0.000 0.000 0.000 [1 per cell]
Ti: 0.000 0.000 0.500 [1 per cell]
Ag: 0.500 0.500 0.000 [1 per cell]
O: 0.000 0.500 0.500 [2 per cell]


(21)
Sc4TlAgO: optimized geometry, PBE.

Calculated values
- final energy (eV/cell) = -169.320
- N(E_F) (states/eV per cell) = 13.24
- formation energy from raw total energies (kJ/mol of atoms) = -94.1

Cell: 6.218 14.483 6.209 Å, 90.00 90.00 90.00°
Space group Cmcm (No. 63)
Inequivalent atoms, fractional coordinates:
Sc: 0.000 0.073 0.250 [4 per cell]
Sc: 0.000 0.413 0.250 [4 per cell]
Sc: 0.250 0.250 0.000 [8 per cell]
Tl: 0.000 0.389 0.750 [4 per cell]
Ag: 0.000 0.117 0.750 [4 per cell]
O: 0.000 0.252 0.250 [4 per cell]


(22)
ScUAg2O6: optimized geometry, PBE.

Calculated values
- final energy (eV/cell) = -147.553
- N(E_F) (states/eV per cell) = 15.46
- formation energy from raw total energies (kJ/mol of atoms) = -199.8

Cell: 9.707 5.995 5.640 Å, 90.00 124.93 90.00°
Space group C2/m (No. 12)
Inequivalent atoms, fractional coordinates:
Sc: 0.000 0.000 0.000 [2 per cell]
U: 0.000 0.500 0.500 [2 per cell]
Ag: 0.248 0.000 0.788 [4 per cell]
O: 0.065 0.249 0.815 [8 per cell]
O: 0.243 0.500 0.619 [4 per cell]